Below is a relaxed MgInB crystal, with properties calculated at the PBE level.

The structure belongs to space group Cm (No. 8); the cell edges are 11.607, 3.143 and 8.427 Å and the angles 90.00°, 133.40° and 90.00°. The asymmetric unit holds Mg at (0.000, 0.000, 0.000), Mg at (0.211, 0.000, 0.577), In at (0.152, 0.500, 0.858), In at (0.330, 0.500, 0.381), B at (0.451, 0.500, 0.230) and B at (0.488, 0.000, 0.246).

For the formation energy, the calculation gives 0.165 eV/atom. Its crystal system is monoclinic. For the theoretical density, the calculation gives 4.5 Mg/m³.

Below is a relaxed MgInB crystal, with properties calculated at the PBE level.

The structure belongs to space group P-1 (No. 2); the cell edges are 3.122, 5.820 and 6.476 Å and the angles 92.18°, 103.78° and 90.20°. The asymmetric unit holds Mg at (0.101, 0.306, 0.201), In at (0.390, 0.167, 0.778) and B at (0.268, 0.498, 0.536).

For the formation energy, the calculation gives 0.154 eV/atom. Its crystal system is triclinic. For the theoretical density, the calculation gives 4.4 Mg/m³.

Below is a relaxed Mg2InB2 crystal, with properties calculated at the PBE level.

The structure belongs to space group I4/mmm (No. 139); the cell edges are 2.995, 2.995 and 16.989 Å and the angles 90.00°, 90.00° and 90.00°. The asymmetric unit holds Mg at (0.000, 0.000, 0.137), In at (0.000, 0.000, 0.500) and B at (0.000, 0.500, 0.250).

For the formation energy, the calculation gives 0.551 eV/atom. Its crystal system is tetragonal. For the theoretical density, the calculation gives 4.0 Mg/m³. The calculation puts the energy above the most stable polymorph in this dataset at 0 meV/atom.

Below is a relaxed MgInB crystal, with properties calculated at the PBE level.

The structure belongs to space group Cm (No. 8); the cell edges are 13.616, 3.129 and 6.020 Å and the angles 90.00°, 116.16° and 90.00°. The asymmetric unit holds Mg at (0.000, 0.000, 0.000), Mg at (0.228, 0.000, 0.729), In at (0.006, 0.500, 0.565), In at (0.222, 0.500, 0.282), B at (0.347, 0.500, 0.085) and B at (0.382, 0.000, 0.119).

For the formation energy, the calculation gives 0.163 eV/atom. Its crystal system is monoclinic. For the theoretical density, the calculation gives 4.3 Mg/m³.

Below is a relaxed Mg3InB crystal, with properties calculated at the PBE level.

The structure belongs to space group Pm-3m (No. 221); the cell edges are 5.261, 5.261 and 5.261 Å and the angles 90.00°, 90.00° and 90.00°. The asymmetric unit holds Mg at (0.000, 0.000, 0.500), In at (0.000, 0.000, 0.000) and B at (0.500, 0.500, 0.500).

For the formation energy, the calculation gives 1.221 eV/atom. Its crystal system is cubic. For the theoretical density, the calculation gives 2.3 Mg/m³. The calculation puts the energy above the most stable polymorph in this dataset at 1058 meV/atom.

Below is a relaxed Mg3InB crystal, with properties calculated at the PBE level.

The structure belongs to space group Pm-3m (No. 221); the cell edges are 4.642, 4.642 and 4.642 Å and the angles 90.00°, 90.00° and 90.00°. The asymmetric unit holds Mg at (0.000, 0.000, 0.500), In at (0.500, 0.500, 0.500) and B at (0.000, 0.000, 0.000).

For the formation energy, the calculation gives 0.162 eV/atom. Its crystal system is cubic. For the theoretical density, the calculation gives 3.3 Mg/m³. The calculation puts the energy above the most stable polymorph in this dataset at 0 meV/atom.

Below is a relaxed MgIn2BN crystal, with properties calculated at the PBE level.

The structure belongs to space group P4/mmm (No. 123); the cell edges are 5.517, 5.517 and 4.307 Å and the angles 90.00°, 90.00° and 90.00°. The asymmetric unit holds Mg at (0.000, 0.000, 0.000), In at (0.000, 0.500, 0.000), B at (0.000, 0.000, 0.500) and N at (0.500, 0.500, 0.500).

As for the total energy: -12.84 eV/f.u. Its crystal system is tetragonal. For the theoretical density, the calculation gives 3.5 Mg/m³.

Below is a relaxed NaMg2InB crystal, with properties calculated at the PBE level.

The structure belongs to space group P4/mmm (No. 123); the cell edges are 5.651, 5.651 and 4.282 Å and the angles 90.00°, 90.00° and 90.00°. The asymmetric unit holds Na at (0.000, 0.000, 0.000), Mg at (0.000, 0.500, 0.500), In at (0.500, 0.500, 0.500) and B at (0.500, 0.500, 0.000).

For the formation energy, the calculation gives 0.818 eV/atom. Its crystal system is tetragonal. For the theoretical density, the calculation gives 2.4 Mg/m³.

Calculated magnetic moment in order - 0.0 0.0 0.0 0.0 0.0 0.0 1.7 0.0 μB per formula unit